No. 1
SmTiGe | PBEsol | optimized geometry

Unit cell a=4.038 b=4.038 c=8.303 alpha=104.07 beta=104.07 gamma=90.00
Each line ends with the local moment (μB).
Fractional positions:
Sm 0.325 0.325 0.651  0.26
Sm 0.675 0.675 0.349  0.26
Ge 0.881 0.881 0.763  -0.01
Ge 0.119 0.119 0.237  -0.01
Ti 0.500 0.000 0.000  0.77
Ti 0.000 0.500 0.000  0.77

Values from the calculation:
M_tot (μB/cell): 3.12
Energy relative to the lowest polymorph listed for this composition (eV/atom): 0.020
Formation enthalpy at 0 K (kJ/mol of formula units): -193

---

No. 2
Sr2SnGe2 | PBEsol | optimized geometry

Unit cell a=3.772 b=3.772 c=10.156 alpha=100.70 beta=100.70 gamma=90.00
Fractional positions:
Sr 0.389 0.389 0.778
Sr 0.611 0.611 0.222
Ge 0.750 0.250 0.500
Ge 0.250 0.750 0.500
Sn 0.000 0.000 0.000

Values from the calculation:
M_tot (μB/cell): 0.00
Formation enthalpy at 0 K (kJ/mol of formula units): -197

---

No. 3
TbSnGe | PBEsol | optimized geometry

Unit cell a=4.020 b=4.246 c=8.316 alpha=75.21 beta=90.00 gamma=90.00
Fractional positions:
Ge 0.750 0.553 0.893
Ge 0.250 0.447 0.107
Tb 0.750 0.906 0.189
Tb 0.250 0.094 0.811
Sn 0.750 0.255 0.491
Sn 0.250 0.745 0.509

Values from the calculation:
M_tot (μB/cell): 0.00
Formation enthalpy at 0 K (kJ/mol of formula units): -205

---

No. 4
SnGeTe2 | PBEsol | optimized geometry

Unit cell a=5.262 b=5.262 c=5.262 alpha=60.00 beta=60.00 gamma=60.00
Fractional positions:
Sn 0.500 0.500 0.500
Te 0.250 0.250 0.250
Te 0.750 0.750 0.750
Ge 0.000 0.000 0.000

Values from the calculation:
M_tot (μB/cell): 0.00
Energy relative to the elements, uncorrected (eV per atom): 0.08